! PBE SrHfTl3, optimized geometry; values from VASP
! VASP energy, eV/atom: -3.613
! ΔH_f (0 K), eV/atom: 0.1338
! Distance to the lowest polymorph of the same formula, meV/atom: 0
&SYSTEM
  ibrav = 0, nat = 5, ntyp = 3
/
ATOMIC_SPECIES
Sr 87.62 Sr.upf
Hf 178.49 Hf.upf
Tl 204.38 Tl.upf
ATOMIC_POSITIONS crystal
Sr 0.000 0.000 0.000
Hf 0.500 0.500 0.500
Tl 0.000 0.500 0.500
Tl 0.500 0.000 0.500
Tl 0.500 0.500 0.000
CELL_PARAMETERS angstrom
5.608 0.000 0.000
0.000 5.608 0.000
0.000 0.000 5.608